(1)
Computed, not measured: an optimized crystal structure of MgZn3H9 at the GGA-PBE level of DFT.

Cell lengths 7.597, 7.597, 9.583 Å; angles 126.50, 126.50, 43.73 degrees
Sites, in units of the cell vectors:
Mg 0.243 0.757 0.500
Mg 0.757 0.243 0.000
Zn 0.233 0.455 0.056
Zn 0.387 0.987 0.021
Zn 0.455 0.233 0.556
Zn 0.722 0.746 0.321
Zn 0.746 0.722 0.821
Zn 0.987 0.387 0.521
H 0.099 0.141 0.040
H 0.141 0.099 0.540
H 0.154 0.657 0.735
H 0.156 0.781 0.812
H 0.207 0.649 0.258
H 0.414 0.435 0.002
H 0.433 0.855 0.805
H 0.435 0.414 0.502
H 0.443 0.967 0.383
H 0.635 0.704 0.098
H 0.649 0.207 0.758
H 0.657 0.154 0.235
H 0.704 0.635 0.598
H 0.781 0.156 0.312
H 0.855 0.433 0.305
H 0.859 0.910 0.966
H 0.910 0.859 0.466
H 0.967 0.443 0.883

Properties
As for the energy: -2.60 eV per atom. Its space-group type is Cc, No. 9.

(2)
Computed, not measured: an optimized crystal structure of BaBiClO2 at the GGA-PBE level of DFT.

Cell lengths 7.325, 7.325, 5.785 Å; angles 90.00, 90.00, 131.70 degrees
Sites, in units of the cell vectors:
Ba 0.118 0.882 0.750
Ba 0.882 0.118 0.250
Bi 0.426 0.574 0.750
Bi 0.574 0.426 0.250
Cl 0.245 0.755 0.250
Cl 0.755 0.245 0.750
O 0.272 0.272 0.000
O 0.272 0.272 0.500
O 0.728 0.728 0.000
O 0.728 0.728 0.500

Properties
The value obtained for the raw formation energy is -10.0 eV/f.u. Its space-group type is Cmcm, No. 63.

(3)
Computed, not measured: an optimized crystal structure of Ti8Ga2Cu at the GGA-PBE level of DFT.

Cell lengths 8.575, 8.575, 5.499 Å; angles 105.32, 105.32, 28.54 degrees
Sites, in units of the cell vectors:
Ti 0.022 0.022 0.257
Ti 0.225 0.225 0.828
Ti 0.349 0.349 0.484
Ti 0.409 0.409 0.010
Ti 0.591 0.591 0.990
Ti 0.651 0.651 0.516
Ti 0.775 0.775 0.172
Ti 0.978 0.978 0.743
Ga 0.181 0.181 0.260
Ga 0.819 0.819 0.740
Cu 0.500 0.500 0.500

Properties
For the calculated formation energy, the calculation gives -0.090 eV per atom. Its space-group type is C2/m, No. 12.

Values of calculated volume, in order: 293.5, 231.7, 185.9, all in Å³ per cell.
Values of total magnetization, in order: 0.0, 0.0, 0.0, all in μB per formula unit.